A plane-wave DFT calculation with PBE with a Hubbard U was carried out for a relaxed Li5Co4NiO10 crystal.

```
20
Lattice="4.7971 -1.4210 0.0000 4.7971 1.4210 0.0000 -2.7750 0.0000 12.2560" Properties=species:S:1:pos:R:3 pbc="T T T"
Li 0.0000 0.0000 0.0000
Li 0.8135 0.0000 4.8019
Li 1.5973 0.0000 9.8299
Li 5.2219 0.0000 2.4261
Li 6.0057 0.0000 7.4541
Co -1.0276 0.0000 8.6197
Co 2.6112 0.0000 1.2103
Co 4.2080 0.0000 11.0457
Co 7.8468 0.0000 3.6364
Ni 3.4096 0.0000 6.1280
O -1.7394 0.0000 10.4182
O -0.2519 0.0000 6.8606
O 1.8938 0.0000 3.0013
O 0.5693 0.0000 11.6726
O 2.5901 0.0000 8.0506
O 4.2291 0.0000 4.2054
O 6.2499 0.0000 0.5835
O 4.9254 0.0000 9.2547
O 7.0711 0.0000 5.3954
O 8.5586 0.0000 1.8379
```

## Properties
magnetization = 0.960 μB per cell
raw total energy = -5.52 eV per atom
space group = C2/m (12)